{"formula": "Cd2InGa3Hg6", "functional": "GGA-PBE", "state": "optimized geometry", "lattice_angstrom": [[4.2786, -5.9565, 0.0000], [4.2786, 5.9565, 0.0000], [-1.9003, 0.0000, 5.8112]], "species": ["Cd", "Cd", "In", "Ga", "Ga", "Ga", "Hg", "Hg", "Hg", "Hg", "Hg", "Hg"], "frac_coords": [[0.1598, 0.8402, 0.0000], [0.8402, 0.1598, 0.0000], [0.5000, 0.5000, 0.0000], [0.0000, 0.0000, 0.5000], [0.3297, 0.6703, 0.5000], [0.6703, 0.3297, 0.5000], [0.0744, 0.4148, 0.7379], [0.2595, 0.2595, 0.2817], [0.4148, 0.0744, 0.7379], [0.5852, 0.9256, 0.2621], [0.7405, 0.7405, 0.7183], [0.9256, 0.5852, 0.2621]], "spacegroup": "No. 12", "e_tot_ev_per_atom": -1.241}


{"formula": "Cd4InGaHg2", "functional": "GGA-PBE", "state": "optimized geometry", "lattice_angstrom": [[5.6020, 0.0000, 0.0000], [0.0000, 4.1351, 0.0000], [-2.5039, 0.0000, 8.4818]], "species": ["Cd", "Cd", "Cd", "Cd", "In", "Ga", "Hg", "Hg"], "frac_coords": [[0.2263, 0.0000, 0.2409], [0.2464, 0.5000, 0.7512], [0.7536, 0.5000, 0.2488], [0.7737, 0.0000, 0.7591], [0.5000, 0.0000, 0.0000], [0.0000, 0.5000, 0.0000], [0.0000, 0.0000, 0.5000], [0.5000, 0.5000, 0.5000]], "spacegroup": "No. 10", "e_tot_ev_per_atom": -1.197}


{"formula": "CdIn2GaHg4", "functional": "GGA-PBE", "state": "optimized geometry", "lattice_angstrom": [[6.1654, -6.0068, 0.0000], [6.1654, 6.0068, 0.0000], [-3.6016, 0.0000, 5.6176]], "species": ["Cd", "Cd", "In", "In", "In", "In", "Ga", "Ga", "Hg", "Hg", "Hg", "Hg", "Hg", "Hg", "Hg", "Hg"], "frac_coords": [[0.0000, 0.0000, 0.0000], [0.0000, 0.0000, 0.5000], [0.0000, 0.5000, 0.0000], [0.5000, 0.0000, 0.5000], [0.5000, 0.5000, 0.0000], [0.5000, 0.5000, 0.5000], [0.0000, 0.5000, 0.5000], [0.5000, 0.0000, 0.0000], [0.2357, 0.2549, 0.4953], [0.2487, 0.7511, 0.5104], [0.2489, 0.7513, 0.9896], [0.2549, 0.2357, 0.9953], [0.7451, 0.7643, 0.0047], [0.7511, 0.2487, 0.0104], [0.7513, 0.2489, 0.4896], [0.7643, 0.7451, 0.5047]], "spacegroup": "No. 15", "e_tot_ev_per_atom": -1.290}


{"formula": "CdInGaHg3", "functional": "GGA-PBE", "state": "optimized geometry", "lattice_angstrom": [[1.7456, -7.4463, 0.0000], [1.7456, 7.4463, 0.0000], [0.0000, 0.0000, 11.4794]], "species": ["Cd", "Cd", "In", "In", "Ga", "Ga", "Hg", "Hg", "Hg", "Hg", "Hg", "Hg"], "frac_coords": [[0.0806, 0.9194, 0.7500], [0.9194, 0.0806, 0.2500], [0.2487, 0.7513, 0.2500], [0.7513, 0.2487, 0.7500], [0.5000, 0.5000, 0.0000], [0.5000, 0.5000, 0.5000], [0.1617, 0.8383, 0.5042], [0.1617, 0.8383, 0.9958], [0.4194, 0.5806, 0.7500], [0.5806, 0.4194, 0.2500], [0.8383, 0.1617, 0.0042], [0.8383, 0.1617, 0.4958]], "spacegroup": "No. 63", "e_tot_ev_per_atom": -1.220}


{"formula": "Cd2In3GaHg", "functional": "GGA-PBE", "state": "optimized geometry", "lattice_angstrom": [[4.9427, 2.8537, 4.6695], [-4.9427, 2.8537, 4.6695], [0.0000, -5.7074, 4.6695]], "species": ["Cd", "Cd", "Cd", "Cd", "In", "In", "In", "In", "In", "In", "Ga", "Ga", "Hg", "Hg"], "frac_coords": [[0.0000, 0.0000, 0.0000], [0.0000, 0.0000, 0.5000], [0.0000, 0.5000, 0.0000], [0.5000, 0.0000, 0.0000], [0.2518, 0.7403, 0.7403], [0.2597, 0.2597, 0.7482], [0.2597, 0.7482, 0.2597], [0.7403, 0.2518, 0.7403], [0.7403, 0.7403, 0.2518], [0.7482, 0.2597, 0.2597], [0.4059, 0.4059, 0.4059], [0.5941, 0.5941, 0.5941], [0.2182, 0.2182, 0.2182], [0.7818, 0.7818, 0.7818]], "spacegroup": "No. 166", "e_tot_ev_per_atom": -1.797}


{"formula": "Cd2InGaHg", "functional": "GGA-PBE", "state": "optimized geometry", "lattice_angstrom": [[3.0405, -6.4774, 0.0000], [3.0405, 6.4774, 0.0000], [0.0000, 0.0000, 6.5804]], "species": ["Cd", "Cd", "Cd", "Cd", "In", "In", "Ga", "Ga", "Hg", "Hg"], "frac_coords": [[0.2478, 0.2478, 0.0000], [0.2478, 0.2478, 0.5000], [0.7522, 0.7522, 0.0000], [0.7522, 0.7522, 0.5000], [0.2139, 0.7861, 0.7500], [0.7861, 0.2139, 0.2500], [0.3666, 0.6334, 0.2500], [0.6334, 0.3666, 0.7500], [0.1604, 0.8396, 0.2500], [0.8396, 0.1604, 0.7500]], "spacegroup": "No. 63", "polymorph_energy_ev_per_atom": 0.000}


{"formula": "KCdGaHg2", "functional": "GGA-PBE", "state": "optimized geometry", "lattice_angstrom": [[5.4119, 0.0000, 0.0000], [0.0000, 5.4119, 0.0000], [0.0000, 0.0000, 5.4299]], "species": ["K", "Cd", "Ga", "Hg", "Hg"], "frac_coords": [[0.0000, 0.0000, 0.0000], [0.5000, 0.5000, 0.0000], [0.5000, 0.5000, 0.5000], [0.0000, 0.5000, 0.5000], [0.5000, 0.0000, 0.5000]], "spacegroup": "No. 123", "polymorph_energy_ev_per_atom": 0.000}


{"formula": "KCd2GaHg4", "functional": "GGA-PBE", "state": "optimized geometry", "lattice_angstrom": [[2.4870, 1.4358, 10.4078], [-2.4870, 1.4358, 10.4078], [0.0000, -2.8717, 10.4078]], "species": ["K", "Cd", "Cd", "Ga", "Hg", "Hg", "Hg", "Hg"], "frac_coords": [[0.0000, 0.0000, 0.0000], [0.2407, 0.2407, 0.2407], [0.7593, 0.7593, 0.7593], [0.5000, 0.5000, 0.5000], [0.1333, 0.1333, 0.1333], [0.3961, 0.3961, 0.3961], [0.6039, 0.6039, 0.6039], [0.8667, 0.8667, 0.8667]], "spacegroup": "No. 166", "e_tot_ev_per_atom": -0.963}